# 1
DFT (GGA-PBE) results for a relaxed structure of AgSb2Ru.

```
8
Lattice="6.7588 0.0000 0.0000 0.0000 6.9182 0.0000 0.0000 0.0000 3.3976" Properties=species:S:1:pos:R:3 pbc="T T T"
Ag 0.0000 0.0000 0.0000
Ag 3.3794 3.4591 0.0000
Sb 1.6897 1.7296 1.6988
Sb 1.6897 5.1887 1.6988
Sb 5.0691 1.7296 1.6988
Sb 5.0691 5.1887 1.6988
Ru 0.0000 3.4591 0.0000
Ru 3.3794 0.0000 0.0000
```

Formation energy from raw total energies in meV/atom: 304

# 2
DFT (GGA-PBE) results for a relaxed structure of Rb2PmMnCl6.

```
20
Lattice="7.4679 0.0000 0.0000 0.0000 10.5742 0.0000 0.0000 0.0000 7.4729" Properties=species:S:1:pos:R:3 pbc="T T T"
Rb 1.8670 0.0027 1.8629
Rb 1.8670 5.2844 1.8629
Rb 5.6009 10.5715 5.6101
Rb 5.6009 5.2898 5.6101
Pm 1.8670 2.6435 5.5993
Pm 5.6009 7.9306 1.8737
Mn 1.8670 7.9306 5.6086
Mn 5.6009 2.6435 1.8644
Cl 0.0642 7.9306 3.8072
Cl 0.0658 7.9306 7.4130
Cl 1.8670 5.3780 5.6051
Cl 1.8670 10.4832 5.6051
Cl 3.6698 7.9306 3.8072
Cl 3.6682 7.9306 7.4130
Cl 3.7997 2.6435 0.0599
Cl 3.7982 2.6435 3.6658
Cl 5.6009 0.0909 1.8678
Cl 5.6009 5.1961 1.8678
Cl 7.4022 2.6435 0.0599
Cl 7.4037 2.6435 3.6658
```

Formation energy from raw total energies in meV/atom: -1708